# MgTePdN2

A relaxed structure of MgTePdN2 (GGA-PBE, Alexandria).

a = 4.0199 Å, b = 4.0199 Å, c = 6.1615 Å
α = 90.00°, β = 90.00°, γ = 90.00°
With the nearest neighbours (Å) after each atom.
Fractional positions:
Pd 0.5000 0.5000 0.5000  4 Te 2.84
N 0.0000 0.5000 0.0000  2 Mg 2.01
Te 0.0000 0.0000 0.5000  4 Pd 2.84, 2 Mg 3.08
Mg 0.0000 0.0000 0.0000  4 N 2.01
N 0.5000 0.0000 0.0000  2 Mg 2.01

## Properties
formation energy without anion corrections: 1.284 eV/atom
symmetry: P4/mmm, No. 123
offset from the most stable computed form: 239 meV per atom
total magnetic moment: 3.8 μB/f.u.